# Pm7ThSn4

A relaxed Pm7ThSn4 crystal (PBE, the Alexandria database).

Cell lengths 5.9494, 9.5579, 7.6524 Å; angles 78.52, 67.12, 71.87 degrees
Element x y z (fractional)
Pm (0.0584, 0.6296, 0.2536)
Pm (0.2094, 0.1074, 0.4737)
Pm (0.6922, 0.3781, 0.2375)
Pm (0.3078, 0.6219, 0.7625)
Pm (0.5000, 0.0000, 0.0000)
Pm (0.9416, 0.3704, 0.7464)
Pm (0.7906, 0.8926, 0.5263)
Sn (0.3006, 0.3288, 0.0700)
Sn (0.4410, 0.7597, 0.3583)
Sn (0.5590, 0.2403, 0.6417)
Sn (0.6994, 0.6712, 0.9300)
Th (0.0000, 0.0000, 0.0000)

Properties
Magnetization ... 0.0 μB per formula unit
Raw total energy ... -59.73 eV/f.u.
Formation energy ... -254 meV/atom
ρ ... 7.5 g/cm³
SG ... C2/m (12)